1.
Density functional theory data (PBE) for crystalline SbHRh3 at its relaxed geometry.

Computed properties:
For the total energy, the calculation gives -0.2214 hartree per atom.

Lattice parameters (Å, degrees): 11.177 7.069 7.069 104.29 132.93 47.07
Fractional positions:
Sb 0.750 0.238 0.738
Sb 0.250 0.762 0.262
Sb 0.750 0.626 0.126
Sb 0.250 0.374 0.874
Rh 0.422 0.250 0.390
Rh 0.078 0.890 0.750
Rh 0.578 0.750 0.610
Rh 0.922 0.110 0.250
Rh 0.067 0.258 0.099
Rh 0.433 0.599 0.758
Rh 0.933 0.742 0.901
Rh 0.567 0.401 0.242
Rh 0.590 0.089 0.913
Rh 0.910 0.413 0.589
Rh 0.410 0.911 0.087
Rh 0.090 0.587 0.411
H 0.334 0.187 0.507
H 0.166 0.007 0.687
H 0.666 0.813 0.493
H 0.834 0.993 0.313



2.
Density functional theory data (PBE) for crystalline SbHRh3 at its relaxed geometry.

Computed properties:
For the total energy, the calculation gives -0.2207 hartree per atom.

Lattice parameters (Å, degrees): 7.399 7.399 7.399 60.00 60.00 60.00
Fractional positions:
Sb 0.625 0.625 0.625
Sb 0.625 0.125 0.625
Sb 0.125 0.625 0.625
Sb 0.625 0.625 0.125
Rh 0.810 0.190 0.190
Rh 0.060 0.440 0.440
Rh 0.440 0.440 0.060
Rh 0.440 0.060 0.060
Rh 0.060 0.440 0.060
Rh 0.810 0.190 0.810
Rh 0.440 0.060 0.440
Rh 0.060 0.060 0.440
Rh 0.190 0.810 0.190
Rh 0.190 0.810 0.810
Rh 0.190 0.190 0.810
Rh 0.810 0.810 0.190
H 0.125 0.125 0.125
H 0.125 0.625 0.125
H 0.625 0.125 0.125
H 0.125 0.125 0.625



3.
Density functional theory data (PBE) for crystalline SbHRh2 at its relaxed geometry.

Computed properties:
For the total energy, the calculation gives -0.2008 hartree per atom.

Lattice parameters (Å, degrees): 4.420 4.420 5.146 64.57 64.57 60.00
Fractional positions:
Sb 0.500 0.500 0.500
Rh 0.124 0.124 0.628
Rh 0.876 0.876 0.372
H 0.000 0.000 0.000



4.
Density functional theory data (PBE) for crystalline SbHRh3 at its relaxed geometry.

Computed properties:
For the total energy, the calculation gives -0.2173 hartree per atom.

Lattice parameters (Å, degrees): 4.462 4.462 7.862 90.00 90.00 120.00
Fractional positions:
Sb 0.333 0.667 0.750
Sb 0.667 0.333 0.250
Rh 0.000 0.000 0.250
Rh 0.000 0.000 0.750
Rh 0.333 0.667 0.074
Rh 0.333 0.667 0.426
Rh 0.667 0.333 0.574
Rh 0.667 0.333 0.926
H 0.000 0.000 0.000
H 0.000 0.000 0.500



5.
Density functional theory data (PBE) for crystalline SbHRh3 at its relaxed geometry.

Computed properties:
For the total energy, the calculation gives -0.2273 hartree per atom.

Lattice parameters (Å, degrees): 4.006 4.006 4.006 90.00 90.00 90.00
Fractional positions:
Sb 0.500 0.500 0.500
Rh 0.000 0.500 0.000
Rh 0.000 0.000 0.500
Rh 0.500 0.000 0.000
H 0.000 0.000 0.000



6.
Density functional theory data (PBE) for crystalline SbHRh3 at its relaxed geometry.

Computed properties:
For the total energy, the calculation gives -0.2200 hartree per atom.

Lattice parameters (Å, degrees): 15.891 6.979 6.979 145.32 154.73 25.27
Fractional positions:
Sb 0.698 0.899 0.101
Sb 0.302 0.101 0.899
Rh 0.228 0.797 0.203
Rh 0.772 0.203 0.797
Rh 0.906 0.418 0.582
Rh 0.094 0.582 0.418
Rh 0.416 0.777 0.223
Rh 0.584 0.223 0.777
H 0.928 0.895 0.105
H 0.072 0.105 0.895



7.
Density functional theory data (PBE) for crystalline SbHRh3 at its relaxed geometry.

Computed properties:
For the total energy, the calculation gives -0.2076 hartree per atom.

Lattice parameters (Å, degrees): 3.901 3.901 6.030 90.00 90.00 90.00
Each line ends with the local moment (μB).
Fractional positions:
Sb 0.000 0.000 0.153  -0.01
Rh 0.000 0.000 0.735  0.27
Rh 0.500 0.000 0.452  0.12
Rh 0.000 0.500 0.452  0.12
H 0.500 0.500 0.471  0.00



8.
Density functional theory data (PBE) for crystalline SbH3Rh at its relaxed geometry.

Computed properties:
For the total energy, the calculation gives -0.1490 hartree per atom.

Lattice parameters (Å, degrees): 3.677 3.677 3.677 90.00 90.00 90.00
Fractional positions:
Sb 0.500 0.500 0.500
Rh 0.000 0.000 0.000
H 0.000 0.500 0.000
H 0.000 0.000 0.500
H 0.500 0.000 0.000



9.
Density functional theory data (PBE) for crystalline Sb3H2Rh8 at its relaxed geometry.

Computed properties:
For the total energy, the calculation gives -0.2229 hartree per atom.

Lattice parameters (Å, degrees): 5.517 5.517 7.871 69.48 69.48 60.00
Fractional positions:
Sb 0.000 0.000 0.000
Sb 0.801 0.801 0.596
Sb 0.199 0.199 0.404
H 0.603 0.603 0.192
H 0.397 0.397 0.808
Rh 0.686 0.686 0.943
Rh 0.314 0.314 0.057
Rh 0.234 0.734 0.299
Rh 0.734 0.234 0.299
Rh 0.734 0.734 0.299
Rh 0.266 0.766 0.701
Rh 0.766 0.266 0.701
Rh 0.266 0.266 0.701



10.
Density functional theory data (PBE) for crystalline Sb2HRh6 at its relaxed geometry.

Computed properties:
For the total energy, the calculation gives -0.2380 hartree per atom.

Lattice parameters (Å, degrees): 5.632 5.632 5.632 60.00 60.00 60.00
Fractional positions:
Sb 0.250 0.250 0.250
Sb 0.750 0.750 0.750
H 0.500 0.500 0.500
Rh 0.248 0.248 0.751
Rh 0.248 0.752 0.248
Rh 0.752 0.248 0.752
Rh 0.752 0.248 0.248
Rh 0.248 0.752 0.752
Rh 0.752 0.752 0.249



11.
Density functional theory data (PBE) for crystalline SbHRh2 at its relaxed geometry.

Computed properties:
For the total energy, the calculation gives -0.2081 hartree per atom.

Lattice parameters (Å, degrees): 5.172 5.172 5.650 62.76 62.76 90.00
Fractional positions:
Sb 0.000 0.000 0.000
Sb 0.750 0.250 0.500
Rh 0.490 0.125 0.250
Rh 0.260 0.625 0.250
Rh 0.375 0.510 0.750
Rh 0.875 0.740 0.750
H 0.500 0.500 0.000
H 0.250 0.750 0.500



12.
Density functional theory data (PBE) for crystalline SbHRh3 at its relaxed geometry.

Computed properties:
For the total energy, the calculation gives -0.2217 hartree per atom.

Lattice parameters (Å, degrees): 16.479 5.561 6.984 90.00 154.90 90.00
Fractional positions:
Sb 0.360 0.816 0.356
Sb 0.640 0.184 0.644
Sb 0.140 0.316 0.144
Sb 0.860 0.684 0.856
Rh 0.272 0.008 0.818
Rh 0.728 0.992 0.182
Rh 0.228 0.508 0.682
Rh 0.772 0.492 0.318
Rh 0.408 0.319 0.420
Rh 0.592 0.681 0.580
Rh 0.092 0.819 0.080
Rh 0.908 0.181 0.920
Rh 0.507 0.750 0.004
Rh 0.493 0.250 0.996
Rh 0.993 0.250 0.496
Rh 0.007 0.750 0.504
H 0.213 0.282 0.834
H 0.787 0.718 0.166
H 0.287 0.782 0.666
H 0.713 0.218 0.334